A plane-wave DFT calculation with GGA-PBE was carried out for an optimized crystal structure of CeIrBr.

Lattice parameters (Å, degrees): 4.3282 4.3282 11.3283 78.99 78.99 60.00
Each line ends with the local moment (μB).
Sites, in units of the cell vectors:
Ir (0.1651, 0.1651, 0.5047)  -0.07
Ir (0.8349, 0.8349, 0.4953)  -0.07
Ce (0.5570, 0.5570, 0.3289)  0.86
Ce (0.4430, 0.4430, 0.6711)  0.86
Br (0.2800, 0.2800, 0.1599)  -0.01
Br (0.7200, 0.7200, 0.8401)  -0.01

As for the size of the total moment: 0.91 μB/f.u. As for the density of states at the Fermi level: 6.71 states/eV/f.u. The value obtained for the electronic total energy is -40.03 eV for the cell shown.